Material: Sr2SnRhPb
Method: DFT, PBE
State: optimized geometry

formation energy from the elements	-372	meV per atom
DOS at the Fermi energy	4.857	states/eV per cell
total energy	-4.0571	eV per atom
SG	No. 123

a b c (Å): 5.714 5.714 5.106
angles (deg): 90.00 90.00 90.00
Positions (direct):
Pb  0.500  0.500  0.500
Sr  0.000  0.500  0.000
Sr  0.500  0.000  0.000
Rh  0.000  0.000  0.000
Sn  0.000  0.000  0.500

Material: SrSnRh2Pb
Method: DFT, PBE
State: optimized geometry

formation energy from the elements	462	meV per atom
DOS at the Fermi energy	4.208	states/eV per cell
total energy	-4.3575	eV per atom
SG	No. 123

a b c (Å): 4.966 5.885 4.966
angles (deg): 90.00 90.00 90.00
Positions (direct):
Pb  0.500  0.500  0.500
Sr  0.000  0.500  0.000
Rh  0.000  0.000  0.500
Rh  0.500  0.000  0.000
Sn  0.000  0.000  0.000

Material: V2SnRhPb
Method: DFT, PBE
State: optimized geometry

formation energy from the elements	1824	meV per atom
DOS at the Fermi energy	5.959	states/eV per cell
total energy	-4.8357	eV per atom
SG	No. 123

a b c (Å): 5.067 5.555 5.067
angles (deg): 90.00 90.00 90.00
Positions (direct):
Pb  0.000  0.000  0.000
Rh  0.500  0.500  0.500
Sn  0.000  0.500  0.000
V  0.000  0.000  0.500
V  0.500  0.000  0.000